# meta-GGA SCAN KCSe2Br, PBEsol geometry
# * raw formation energy: 1899 meV/atom
data_KCSe2Br
_cell_length_a 6.008
_cell_length_b 6.166
_cell_length_c 6.166
_cell_angle_alpha 90.00
_cell_angle_beta 90.00
_cell_angle_gamma 90.00
_space_group_name_H-M_alt 'P 1'
_space_group_IT_number 1
_space_group_name_Hall 'P 1'
loop_
_atom_site_label
_atom_site_type_symbol
_atom_site_fract_x
_atom_site_fract_y
_atom_site_fract_z
Br1 Br 0.500 0.000 0.000
Se1 Se 0.000 0.000 0.500
Se2 Se 0.000 0.500 0.000
K1 K 0.000 0.000 0.000
C1 C 0.500 0.500 0.500


# meta-GGA SCAN Re3SnCl, PBEsol geometry
# * raw formation energy: 1973 meV/atom
data_Re3SnCl
_cell_length_a 4.377
_cell_length_b 4.377
_cell_length_c 4.377
_cell_angle_alpha 90.00
_cell_angle_beta 90.00
_cell_angle_gamma 90.00
_space_group_name_H-M_alt 'P 1'
_space_group_IT_number 1
_space_group_name_Hall 'P 1'
loop_
_atom_site_label
_atom_site_type_symbol
_atom_site_fract_x
_atom_site_fract_y
_atom_site_fract_z
Cl1 Cl 0.000 0.000 0.000
Re1 Re 0.000 0.500 0.000
Re2 Re 0.500 0.000 0.000
Sn1 Sn 0.500 0.500 0.500
Re3 Re 0.000 0.000 0.500


# meta-GGA SCAN ScAg2Br, PBEsol geometry
# * raw formation energy: -200 meV/atom
data_ScAg2Br
_cell_length_a 3.268
_cell_length_b 4.445
_cell_length_c 5.460
_cell_angle_alpha 90.00
_cell_angle_beta 90.00
_cell_angle_gamma 91.19
_space_group_name_H-M_alt 'P 1'
_space_group_IT_number 1
_space_group_name_Hall 'P 1'
loop_
_atom_site_label
_atom_site_type_symbol
_atom_site_fract_x
_atom_site_fract_y
_atom_site_fract_z
Ag1 Ag 0.751 0.756 0.000
Sc1 Sc 0.500 0.000 0.500
Br1 Br 0.000 0.500 0.500
Ag2 Ag 0.249 0.244 0.000


# meta-GGA SCAN YBeFe, PBEsol geometry
# * formation energy: 0.492 eV per atom
data_YBeFe
_cell_length_a 4.111
_cell_length_b 4.111
_cell_length_c 4.111
_cell_angle_alpha 60.00
_cell_angle_beta 60.00
_cell_angle_gamma 60.00
_space_group_name_H-M_alt 'P 1'
_space_group_IT_number 1
_space_group_name_Hall 'P 1'
loop_
_atom_site_label
_atom_site_type_symbol
_atom_site_fract_x
_atom_site_fract_y
_atom_site_fract_z
Be1 Be 0.250 0.250 0.250
Fe1 Fe 0.000 0.000 0.000
Y1 Y 0.500 0.500 0.500


# meta-GGA SCAN Sb2TeIrI, PBEsol geometry
# * raw formation energy: 1822 meV/atom
data_Sb2TeIrI
_cell_length_a 5.567
_cell_length_b 5.577
_cell_length_c 5.577
_cell_angle_alpha 90.00
_cell_angle_beta 90.00
_cell_angle_gamma 90.00
_space_group_name_H-M_alt 'P 1'
_space_group_IT_number 1
_space_group_name_Hall 'P 1'
loop_
_atom_site_label
_atom_site_type_symbol
_atom_site_fract_x
_atom_site_fract_y
_atom_site_fract_z
Te1 Te 0.000 0.000 0.000
Sb1 Sb 0.000 0.500 0.000
I1 I 0.500 0.000 0.000
Sb2 Sb 0.000 0.000 0.500
Ir1 Ir 0.500 0.500 0.500


# meta-GGA SCAN ZrMnSb2, PBEsol geometry
# * raw formation energy: -188 meV/atom
data_ZrMnSb2
_cell_length_a 4.838
_cell_length_b 4.838
_cell_length_c 4.838
_cell_angle_alpha 60.00
_cell_angle_beta 60.00
_cell_angle_gamma 60.00
_space_group_name_H-M_alt 'P 1'
_space_group_IT_number 1
_space_group_name_Hall 'P 1'
loop_
_atom_site_label
_atom_site_type_symbol
_atom_site_fract_x
_atom_site_fract_y
_atom_site_fract_z
Sb1 Sb 0.250 0.250 0.250
Mn1 Mn 0.000 0.000 0.000
Zr1 Zr 0.500 0.500 0.500
Sb2 Sb 0.750 0.750 0.750


For reference, density of states at the Fermi level by record: 10.259; 3.569; 2.681; 2.473; 5.405; 3.023 states/eV/cell.
For reference, size of the total moment by record: 1.14; 0.31; 0.00; 0.41; 0.30; 0.75 μB/atom.